[1]
The following is a DFT calculation (PBE) of crystalline CdHgTe2 at its relaxed geometry.

CIF file:
```
data_CdHgTe2
_symmetry_space_group_name_H-M 'I m m m'
_symmetry_Int_Tables_number 71
_symmetry_space_group_name_Hall '-I 2 2'
_cell_length_a 3.979
_cell_length_b 5.093
_cell_length_c 11.147
_cell_angle_alpha 90.00
_cell_angle_beta 90.00
_cell_angle_gamma 90.00
loop_
_atom_site_label
_atom_site_type_symbol
_atom_site_fract_x
_atom_site_fract_y
_atom_site_fract_z
Cd1 Cd 0.000 0.000 0.000
Hg1 Hg 0.000 0.000 0.500
Te1 Te 0.000 0.500 0.289
```

Results
Uncorrected formation energy   0.074 eV per atom
Energy above the most stable polymorph in this dataset   37.23 kJ per mole of atoms
Calculated volume   28.24 A^3/atom
Size of the total moment   0.00 μB per cell



[2]
The following is a DFT calculation (PBE) of crystalline Ba2H2Pt at its relaxed geometry.

CIF file:
```
data_Ba2H2Pt
_symmetry_space_group_name_H-M 'I 4/m m m'
_symmetry_Int_Tables_number 139
_symmetry_space_group_name_Hall '-I 4 2'
_cell_length_a 4.091
_cell_length_b 4.091
_cell_length_c 14.032
_cell_angle_alpha 90.00
_cell_angle_beta 90.00
_cell_angle_gamma 90.00
loop_
_atom_site_label
_atom_site_type_symbol
_atom_site_fract_x
_atom_site_fract_y
_atom_site_fract_z
Ba1 Ba 0.000 0.000 0.133
H1 H 0.000 0.500 0.250
Pt1 Pt 0.000 0.000 0.500
```

Results
Energy above the most stable polymorph in this dataset   1.24 kJ per mole of atoms
Calculated volume   23.48 A^3/atom
Size of the total moment   0.00 μB per cell



[3]
The following is a DFT calculation (PBE) of crystalline KCoTe2 at its relaxed geometry.

CIF file:
```
data_KCoTe2
_symmetry_space_group_name_H-M 'P 4/m m m'
_symmetry_Int_Tables_number 123
_symmetry_space_group_name_Hall '-P 4 2'
_cell_length_a 3.440
_cell_length_b 3.440
_cell_length_c 8.589
_cell_angle_alpha 90.00
_cell_angle_beta 90.00
_cell_angle_gamma 90.00
loop_
_atom_site_label
_atom_site_type_symbol
_atom_site_fract_x
_atom_site_fract_y
_atom_site_fract_z
K1 K 0.000 0.000 0.000
Co1 Co 0.000 0.000 0.500
Te1 Te 0.500 0.500 0.311
```

Results
Uncorrected formation energy   0.011 eV per atom
Calculated volume   25.42 A^3/atom
Size of the total moment   1.75 μB per cell



[4]
The following is a DFT calculation (PBE) of crystalline BaCe2Pr at its relaxed geometry.

CIF file:
```
data_BaCe2Pr
_symmetry_space_group_name_H-M 'R -3 m'
_symmetry_Int_Tables_number 166
_symmetry_space_group_name_Hall '-R 3 2"'
_cell_length_a 3.5857
_cell_length_b 3.5857
_cell_length_c 39.0298
_cell_angle_alpha 90.00
_cell_angle_beta 90.00
_cell_angle_gamma 120.00
loop_
_atom_site_label
_atom_site_type_symbol
_atom_site_fract_x
_atom_site_fract_y
_atom_site_fract_z
Ba1 Ba 0.0000 0.0000 0.0000
Ce1 Ce 0.0000 0.0000 0.0911
Pr1 Pr 0.0000 0.0000 0.5000
```

Results
Energy relative to the elements   134 kJ/mol of formula units
Calculated volume   36.21 A^3/atom
Size of the total moment   6.15 μB per cell



[5]
The following is a DFT calculation (PBE) of crystalline TcPt2W at its relaxed geometry.

CIF file:
```
data_TcPt2W
_symmetry_space_group_name_H-M 'R -3 m'
_symmetry_Int_Tables_number 166
_symmetry_space_group_name_Hall '-R 3 2"'
_cell_length_a 2.7792
_cell_length_b 2.7792
_cell_length_c 27.5305
_cell_angle_alpha 90.00
_cell_angle_beta 90.00
_cell_angle_gamma 120.00
loop_
_atom_site_label
_atom_site_type_symbol
_atom_site_fract_x
_atom_site_fract_y
_atom_site_fract_z
Tc1 Tc 0.0000 0.0000 0.0000
Pt1 Pt 0.0000 0.0000 0.2509
W1 W 0.0000 0.0000 0.5000
```

Results
Energy above the most stable polymorph in this dataset   17.20 kJ per mole of atoms
Energy relative to the elements   -18 kJ/mol of formula units
Calculated volume   15.35 A^3/atom
Size of the total moment   0.00 μB per cell



[6]
The following is a DFT calculation (PBE) of crystalline SrLiCuAu at its relaxed geometry.

CIF file:
```
data_SrLiCuAu
_symmetry_space_group_name_H-M 'F -4 3 m'
_symmetry_Int_Tables_number 216
_symmetry_space_group_name_Hall 'F -4 2 3'
_cell_length_a 7.155
_cell_length_b 7.155
_cell_length_c 7.155
_cell_angle_alpha 90.00
_cell_angle_beta 90.00
_cell_angle_gamma 90.00
loop_
_atom_site_label
_atom_site_type_symbol
_atom_site_fract_x
_atom_site_fract_y
_atom_site_fract_z
Sr1 Sr 0.000 0.000 0.000
Li1 Li 0.000 0.000 0.500
Cu1 Cu 0.250 0.250 0.750
Au1 Au 0.250 0.250 0.250
```

Results
Energy relative to the elements   -85 kJ/mol of formula units
Calculated volume   22.90 A^3/atom
Size of the total moment   0.00 μB per cell



[7]
The following is a DFT calculation (PBE) of crystalline LaScGe2Pb at its relaxed geometry.

CIF file:
```
data_LaScGe2Pb
_symmetry_space_group_name_H-M 'P 4/m m m'
_symmetry_Int_Tables_number 123
_symmetry_space_group_name_Hall '-P 4 2'
_cell_length_a 5.162
_cell_length_b 5.162
_cell_length_c 5.536
_cell_angle_alpha 90.00
_cell_angle_beta 90.00
_cell_angle_gamma 90.00
loop_
_atom_site_label
_atom_site_type_symbol
_atom_site_fract_x
_atom_site_fract_y
_atom_site_fract_z
La1 La 0.000 0.000 0.000
Sc1 Sc 0.000 0.000 0.500
Ge1 Ge 0.000 0.500 0.500
Pb1 Pb 0.500 0.500 0.000
```

Results
Energy relative to the elements   107 kJ/mol of formula units
Calculated volume   29.51 A^3/atom
Size of the total moment   0.52 μB per cell



[8]
The following is a DFT calculation (PBE) of crystalline YAs at its relaxed geometry.

CIF file:
```
data_YAs
_symmetry_space_group_name_H-M 'P m -3 n'
_symmetry_Int_Tables_number 223
_symmetry_space_group_name_Hall '-P 4n 2 3'
_cell_length_a 7.923
_cell_length_b 7.923
_cell_length_c 7.923
_cell_angle_alpha 90.00
_cell_angle_beta 90.00
_cell_angle_gamma 90.00
loop_
_atom_site_label
_atom_site_type_symbol
_atom_site_fract_x
_atom_site_fract_y
_atom_site_fract_z
Y1 Y 0.000 0.250 0.500
As1 As 0.000 0.500 0.250
```

Results
Energy relative to the elements   -188 kJ/mol of formula units
Calculated volume   41.45 A^3/atom
Size of the total moment   0.00 μB per cell



[9]
The following is a DFT calculation (PBE) of crystalline CaSn3Hg at its relaxed geometry.

CIF file:
```
data_CaSn3Hg
_symmetry_space_group_name_H-M 'P m -3 m'
_symmetry_Int_Tables_number 221
_symmetry_space_group_name_Hall '-P 4 2 3'
_cell_length_a 5.599
_cell_length_b 5.599
_cell_length_c 5.599
_cell_angle_alpha 90.00
_cell_angle_beta 90.00
_cell_angle_gamma 90.00
loop_
_atom_site_label
_atom_site_type_symbol
_atom_site_fract_x
_atom_site_fract_y
_atom_site_fract_z
Ca1 Ca 0.000 0.000 0.000
Sn1 Sn 0.000 0.500 0.500
Hg1 Hg 0.500 0.500 0.500
```

Results
Energy above the most stable polymorph in this dataset   0.00 kJ per mole of atoms
Energy relative to the elements   110 kJ/mol of formula units
Calculated volume   35.10 A^3/atom
Size of the total moment   0.00 μB per cell



[10]
The following is a DFT calculation (PBE) of crystalline SrTa2Te at its relaxed geometry.

CIF file:
```
data_SrTa2Te
_symmetry_space_group_name_H-M 'C m m m'
_symmetry_Int_Tables_number 65
_symmetry_space_group_name_Hall '-C 2 2'
_cell_length_a 6.019
_cell_length_b 9.458
_cell_length_c 3.304
_cell_angle_alpha 90.00
_cell_angle_beta 90.00
_cell_angle_gamma 90.00
loop_
_atom_site_label
_atom_site_type_symbol
_atom_site_fract_x
_atom_site_fract_y
_atom_site_fract_z
Sr1 Sr 0.000 0.000 0.000
Ta1 Ta 0.250 0.250 0.500
Te1 Te 0.000 0.500 0.000
```

Results
Uncorrected formation energy   0.909 eV per atom
Energy above the most stable polymorph in this dataset   75.40 kJ per mole of atoms
Calculated volume   23.51 A^3/atom
Size of the total moment   0.01 μB per cell



[11]
The following is a DFT calculation (PBE) of crystalline Ba3BeAs4 at its relaxed geometry.

CIF file:
```
data_Ba3BeAs4
_symmetry_space_group_name_H-M 'I m m m'
_symmetry_Int_Tables_number 71
_symmetry_space_group_name_Hall '-I 2 2'
_cell_length_a 4.936
_cell_length_b 7.971
_cell_length_c 12.815
_cell_angle_alpha 90.00
_cell_angle_beta 90.00
_cell_angle_gamma 90.00
loop_
_atom_site_label
_atom_site_type_symbol
_atom_site_fract_x
_atom_site_fract_y
_atom_site_fract_z
Ba1 Ba 0.000 0.000 0.000
Ba2 Ba 0.000 0.500 0.198
Be1 Be 0.000 0.000 0.500
As1 As 0.000 0.243 0.401
```

Results
Energy relative to the elements   -604 kJ/mol of formula units
Calculated volume   31.51 A^3/atom
Size of the total moment   0.00 μB per cell



[12]
The following is a DFT calculation (PBE) of crystalline Pr4Ga12Cu at its relaxed geometry.

CIF file:
```
data_Pr4Ga12Cu
_symmetry_space_group_name_H-M 'I m -3 m'
_symmetry_Int_Tables_number 229
_symmetry_space_group_name_Hall '-I 4 2 3'
_cell_length_a 8.858
_cell_length_b 8.858
_cell_length_c 8.858
_cell_angle_alpha 90.00
_cell_angle_beta 90.00
_cell_angle_gamma 90.00
loop_
_atom_site_label
_atom_site_type_symbol
_atom_site_fract_x
_atom_site_fract_y
_atom_site_fract_z
Pr1 Pr 0.250 0.250 0.250
Ga1 Ga 0.000 0.000 0.295
Ga2 Ga 0.000 0.250 0.500
Cu1 Cu 0.000 0.000 0.000
```

Results
Energy relative to the elements   -855 kJ/mol of formula units
Calculated volume   20.44 A^3/atom
Size of the total moment   0.00 μB per cell